7
Lattice="5.2776 0.1053 -1.7929 -2.6002 4.5130 -1.9877 0.0607 -0.1053 5.5735" Properties=species:S:1:pos:R:3 comment="CeIn2Rh4 PBE-GGA relaxed" sg=I4/mmm dft_energy_ev_per_atom=-6.17 vol_a3_per_cell=133 ef_ev_per_fu=-2.39 pbc="T T T"
Ce 0.0000 0.0000 0.0000
In 1.3387 2.3092 -1.8903
In 2.6692 0.0000 1.8903
Rh 2.6388 0.0527 -0.8965
Rh 1.3691 2.2565 0.8965
Rh 0.0303 -0.0527 2.7868
Rh -1.3001 2.2565 -0.9939

5
Lattice="-3.7655 0.3645 -0.7212 -0.7840 -2.4805 2.8398 -0.1958 2.9234 2.4995" Properties=species:S:1:pos:R:3 comment="Be3ClO PBE-GGA relaxed" sg=Pm-3m dft_energy_ev_per_atom=-3.33 vol_a3_per_cell=57 formation_energy_uncorrected_kj_per_mol_atoms=26 de_polymorph_ev_per_atom=0.000 pbc="T T T"
Be -0.3920 -1.2402 1.4199
Be -0.0979 1.4617 1.2497
Be -1.8827 0.1822 -0.3606
O 0.0000 0.0000 0.0000
Cl -2.3726 0.4037 2.3090